(1)
Computed, not measured: K2LiHgSe after structural relaxation at the GGA-PBE level of DFT.

Output
Calculated total energy in eV per cell: -11.12
V in Å³ per atom: 39.7

abc: 6.465 6.465 4.745
angles: 90.00 90.00 90.00
Space group P4/mmm (No. 123)
Inequivalent atoms, fractional coordinates:
K 0.000 0.500 0.000 x2
Li 0.000 0.000 0.500 x1
Hg 0.500 0.500 0.500 x1
Se 0.000 0.000 0.000 x1

---

(2)
Computed, not measured: TbP2Pt5 after structural relaxation at the GGA-PBE level of DFT.

Output
ΔH_f (0 K) in eV per formula unit: -5.72
V in Å³ per atom: 17.0

abc: 4.069 6.970 9.565
angles: 90.00 90.00 90.00
Space group Immm (No. 71)
Inequivalent atoms, fractional coordinates:
Tb 0.000 0.000 0.000 x2
P 0.000 0.500 0.246 x4
Pt 0.000 0.213 0.354 x8
Pt 0.000 0.500 0.000 x2